# BaTlMo2O8, relaxed, DFT PBE with a Hubbard U
# * Fermi-level density of states: 5.8 states/eV/cell
# * total magnetization: 0.00 Bohr magnetons per cell
# * uncorrected energy: -6.551 eV/atom
# * V: 250.2 Å³/f.u.
data_BaTlMo2O8
_cell_length_a 6.0606
_cell_length_b 6.0606
_cell_length_c 7.8641
_cell_angle_alpha 90.00
_cell_angle_beta 90.00
_cell_angle_gamma 120.00
_space_group_name_H-M_alt 'P -3'
_space_group_IT_number 147
loop_
_space_group_symop_operation_xyz
'x,y,z'
'-x,-y,-z'
'-y,x-y,z'
'y,-x+y,-z'
'-x+y,-x,z'
'x-y,x,-z'
loop_
_atom_site_label
_atom_site_type_symbol
_atom_site_fract_x
_atom_site_fract_y
_atom_site_fract_z
_atom_site_occupancy
Ba1 Ba 0.0000 0.0000 0.0000 1
Tl1 Tl 0.0000 0.0000 0.5000 1
Mo1 Mo 0.3333 0.6667 0.7878 1
O1 O 0.1663 0.8300 0.7219 1
O2 O 0.3333 0.6667 0.0126 1